(1)
Material: SrCeGaAg
Method: DFT, GGA-PBE
State: optimized geometry

Crystal system: cubic

```
data_SrCeGaAg
_chemical_formula_sum 'Sr4 Ce4 Ga4 Ag4'
_cell_length_a 7.582
_cell_length_b 7.582
_cell_length_c 7.582
_cell_angle_alpha 90.00
_cell_angle_beta 90.00
_cell_angle_gamma 90.00
_symmetry_space_group_name_H-M 'F -4 3 m'
_symmetry_Int_Tables_number 216
_symmetry_space_group_name_Hall 'F -4 2 3'
loop_
_atom_site_label
_atom_site_type_symbol
_atom_site_fract_x
_atom_site_fract_y
_atom_site_fract_z
Sr1 Sr 0.000 0.000 0.000
Ce1 Ce 0.000 0.000 0.500
Ga1 Ga 0.250 0.250 0.750
Ag1 Ag 0.250 0.250 0.250
```

(2)
Material: TbCe2Ga2Ag2
Method: DFT, GGA-PBE
State: optimized geometry

Crystal system: trigonal

```
data_TbCe2Ga2Ag2
_chemical_formula_sum 'Tb3 Ce6 Ga6 Ag6'
_cell_length_a 4.5153
_cell_length_b 4.5153
_cell_length_c 26.4671
_cell_angle_alpha 90.00
_cell_angle_beta 90.00
_cell_angle_gamma 120.00
_symmetry_space_group_name_H-M 'R -3 m'
_symmetry_Int_Tables_number 166
_symmetry_space_group_name_Hall '-R 3 2"'
loop_
_atom_site_label
_atom_site_type_symbol
_atom_site_fract_x
_atom_site_fract_y
_atom_site_fract_z
Tb1 Tb 0.0000 0.0000 0.0000
Ce1 Ce 0.0000 0.0000 0.1404
Ga1 Ga 0.0000 0.0000 0.2624
Ag1 Ag 0.0000 0.0000 0.4031
```

(3)
Material: CeThGaAg
Method: DFT, GGA-PBE
State: optimized geometry

Crystal system: cubic

```
data_CeThGaAg
_chemical_formula_sum 'Ce4 Th4 Ga4 Ag4'
_cell_length_a 7.415
_cell_length_b 7.415
_cell_length_c 7.415
_cell_angle_alpha 90.00
_cell_angle_beta 90.00
_cell_angle_gamma 90.00
_symmetry_space_group_name_H-M 'F -4 3 m'
_symmetry_Int_Tables_number 216
_symmetry_space_group_name_Hall 'F -4 2 3'
loop_
_atom_site_label
_atom_site_type_symbol
_atom_site_fract_x
_atom_site_fract_y
_atom_site_fract_z
Ce1 Ce 0.000 0.000 0.000
Th1 Th 0.000 0.000 0.500
Ga1 Ga 0.250 0.250 0.750
Ag1 Ag 0.250 0.250 0.250
```

(4)
Material: Ce2ThGa2Ag2
Method: DFT, GGA-PBE
State: optimized geometry

Crystal system: trigonal

```
data_Ce2ThGa2Ag2
_chemical_formula_sum 'Ce6 Th3 Ga6 Ag6'
_cell_length_a 4.5183
_cell_length_b 4.5183
_cell_length_c 27.1312
_cell_angle_alpha 90.00
_cell_angle_beta 90.00
_cell_angle_gamma 120.00
_symmetry_space_group_name_H-M 'R -3 m'
_symmetry_Int_Tables_number 166
_symmetry_space_group_name_Hall '-R 3 2"'
loop_
_atom_site_label
_atom_site_type_symbol
_atom_site_fract_x
_atom_site_fract_y
_atom_site_fract_z
Ce1 Ce 0.0000 0.0000 0.1418
Th1 Th 0.0000 0.0000 0.0000
Ga1 Ga 0.0000 0.0000 0.2616
Ag1 Ag 0.0000 0.0000 0.4087
```

(5)
Material: CeTlGaAg
Method: DFT, GGA-PBE
State: optimized geometry

Crystal system: cubic

```
data_CeTlGaAg
_chemical_formula_sum 'Ce4 Tl4 Ga4 Ag4'
_cell_length_a 7.198
_cell_length_b 7.198
_cell_length_c 7.198
_cell_angle_alpha 90.00
_cell_angle_beta 90.00
_cell_angle_gamma 90.00
_symmetry_space_group_name_H-M 'F -4 3 m'
_symmetry_Int_Tables_number 216
_symmetry_space_group_name_Hall 'F -4 2 3'
loop_
_atom_site_label
_atom_site_type_symbol
_atom_site_fract_x
_atom_site_fract_y
_atom_site_fract_z
Ce1 Ce 0.000 0.000 0.000
Tl1 Tl 0.000 0.000 0.500
Ga1 Ga 0.250 0.250 0.750
Ag1 Ag 0.250 0.250 0.250
```

(6)
Material: Ce2TmGa2Ag2
Method: DFT, GGA-PBE
State: optimized geometry

Crystal system: trigonal

```
data_Ce2TmGa2Ag2
_chemical_formula_sum 'Ce6 Tm3 Ga6 Ag6'
_cell_length_a 4.5094
_cell_length_b 4.5094
_cell_length_c 26.0832
_cell_angle_alpha 90.00
_cell_angle_beta 90.00
_cell_angle_gamma 120.00
_symmetry_space_group_name_H-M 'R -3 m'
_symmetry_Int_Tables_number 166
_symmetry_space_group_name_Hall '-R 3 2"'
loop_
_atom_site_label
_atom_site_type_symbol
_atom_site_fract_x
_atom_site_fract_y
_atom_site_fract_z
Ce1 Ce 0.0000 0.0000 0.1395
Tm1 Tm 0.0000 0.0000 0.0000
Ga1 Ga 0.0000 0.0000 0.2639
Ag1 Ag 0.0000 0.0000 0.3993
```

(7)
Material: Ce2YGa2Ag2
Method: DFT, GGA-PBE
State: optimized geometry

Crystal system: trigonal

```
data_Ce2YGa2Ag2
_chemical_formula_sum 'Ce6 Y3 Ga6 Ag6'
_cell_length_a 4.5110
_cell_length_b 4.5110
_cell_length_c 26.4777
_cell_angle_alpha 90.00
_cell_angle_beta 90.00
_cell_angle_gamma 120.00
_symmetry_space_group_name_H-M 'R -3 m'
_symmetry_Int_Tables_number 166
_symmetry_space_group_name_Hall '-R 3 2"'
loop_
_atom_site_label
_atom_site_type_symbol
_atom_site_fract_x
_atom_site_fract_y
_atom_site_fract_z
Ce1 Ce 0.0000 0.0000 0.1405
Y1 Y 0.0000 0.0000 0.0000
Ga1 Ga 0.0000 0.0000 0.2624
Ag1 Ag 0.0000 0.0000 0.4030
```

(8)
Material: CeYGaAg
Method: DFT, GGA-PBE
State: optimized geometry

Crystal system: cubic

```
data_CeYGaAg
_chemical_formula_sum 'Ce4 Y4 Ga4 Ag4'
_cell_length_a 7.335
_cell_length_b 7.335
_cell_length_c 7.335
_cell_angle_alpha 90.00
_cell_angle_beta 90.00
_cell_angle_gamma 90.00
_symmetry_space_group_name_H-M 'F -4 3 m'
_symmetry_Int_Tables_number 216
_symmetry_space_group_name_Hall 'F -4 2 3'
loop_
_atom_site_label
_atom_site_type_symbol
_atom_site_fract_x
_atom_site_fract_y
_atom_site_fract_z
Ce1 Ce 0.000 0.000 0.000
Y1 Y 0.000 0.000 0.500
Ga1 Ga 0.250 0.250 0.250
Ag1 Ag 0.250 0.250 0.750
```

What did we get for energy of formation from the pure elements? Answer: -0.955 -2.537 -0.863 -2.221 -0.809 -2.448 -2.576 -1.381 eV per formula unit, in the order shown.
What did we get for E? Answer: -3.612 -4.399 -5.024 -4.752 -3.747 -4.363 -4.666 -4.914 eV/atom, in the order shown.